# ScNiBiW

An optimized crystal structure of ScNiBiW (PBE, the Open Quantum Materials Database).

Cell lengths 6.6587, 6.6587, 6.6587 Å; angles 90.00, 90.00, 90.00 degrees
Last column: nearest neighbours and their distance in Å.
Space group F-43m (No. 216)
Inequivalent atoms, fractional coordinates:
Sc 0.0000 0.0000 0.0000  4 Bi 2.88, 4 W 2.88
Ni 0.0000 0.0000 0.5000  4 W 2.88, 4 Bi 2.88
Bi 0.2500 0.2500 0.2500  4 Ni 2.88, 4 Sc 2.88
W 0.2500 0.2500 0.7500  4 Ni 2.88, 4 Sc 2.88

Output
- E: -105.0 eV per cell
- Total moment: 0.247 μB per atom

=====

# ScZnNiBi

An optimized crystal structure of ScZnNiBi (PBE, the Open Quantum Materials Database).

Cell lengths 6.6720, 6.6720, 6.6720 Å; angles 90.00, 90.00, 90.00 degrees
Last column: nearest neighbours and their distance in Å.
Space group F-43m (No. 216)
Inequivalent atoms, fractional coordinates:
Sc 0.0000 0.0000 0.0000  4 Bi 2.89, 4 Zn 2.89
Zn 0.2500 0.2500 0.7500  4 Ni 2.89, 4 Sc 2.89
Ni 0.0000 0.0000 0.5000  4 Zn 2.89, 4 Bi 2.89
Bi 0.2500 0.2500 0.2500  4 Ni 2.89, 4 Sc 2.89

Output
- ΔE to the lowest computed polymorph: 52 meV/atom
- Total moment: 0.001 μB per atom

=====

# ScZnNiBi

An optimized crystal structure of ScZnNiBi (PBE, the Open Quantum Materials Database).

Cell lengths 6.6732, 6.6732, 6.6732 Å; angles 90.00, 90.00, 90.00 degrees
Last column: nearest neighbours and their distance in Å.
Space group F-43m (No. 216)
Inequivalent atoms, fractional coordinates:
Sc 0.0000 0.0000 0.0000  4 Ni 2.89, 4 Zn 2.89
Zn 0.2500 0.2500 0.7500  4 Bi 2.89, 4 Sc 2.89
Ni 0.2500 0.2500 0.2500  4 Bi 2.89, 4 Sc 2.89
Bi 0.0000 0.0000 0.5000  4 Ni 2.89, 4 Zn 2.89

Output
- ΔE to the lowest computed polymorph: 0 meV/atom
- Total moment: 0.000 μB per atom

=====

# NiBi10Se10

An optimized crystal structure of NiBi10Se10 (PBE, the Open Quantum Materials Database).

Cell lengths 11.3579, 12.6663, 8.8387 Å; angles 90.00, 90.00, 90.00 degrees
Last column: nearest neighbours and their distance in Å.
Space group Pbam (No. 55)
Inequivalent atoms, fractional coordinates:
Ni 0.0000 0.0000 0.0000  6 Bi 2.64-2.65
Bi 0.0000 0.5000 0.2405  6 Se 2.94-3.03
Bi 0.1313 0.0814 0.2180  1 Ni 2.65, 1 Se 2.93
Bi 0.1329 0.8293 0.0000  1 Ni 2.64, 2 Se 2.93
Bi 0.2490 0.8340 0.5000  4 Se 2.80-2.93
Se 0.0034 0.8516 0.5000  3 Bi 2.80-3.05
Se 0.1502 0.5873 0.0000  5 Bi 2.94-3.14
Se 0.1585 0.3104 0.1925  4 Bi 2.93-3.03
Se 0.1671 0.5451 0.5000  3 Bi 2.84-3.03

Output
- E: -167.6 eV per cell
- Total moment: 0.000 μB per atom

=====

# Ni2Bi8Se

An optimized crystal structure of Ni2Bi8Se (PBE, the Open Quantum Materials Database).

Cell lengths 11.2327, 11.2327, 9.5830 Å; angles 90.00, 90.00, 90.00 degrees
Last column: nearest neighbours and their distance in Å.
Space group P4_2/mnm (No. 136)
Inequivalent atoms, fractional coordinates:
Ni 0.2065 0.2065 0.2305  5 Bi 2.60-2.80
Bi 0.0000 0.0000 0.3263  11 Bi 3.33-3.61, 2 Ni 3.41
Bi 0.0528 0.7040 0.1942  2 Ni 2.80-3.10, 1 Se 3.01
Bi 0.1051 0.1051 0.0000  2 Ni 2.73
Bi 0.1862 0.1862 0.5000  2 Ni 2.60
Bi 0.1911 0.8089 0.5000  2 Ni 2.74
Se 0.0000 0.5000 0.0000  4 Bi 3.01

Output
- E: -182.6 eV per cell
- Total moment: 0.000 μB per atom

=====

# Si3Ni2Bi2

An optimized crystal structure of Si3Ni2Bi2 (PBE, the Open Quantum Materials Database).

Cell lengths 3.8837, 3.8837, 29.1884 Å; angles 90.00, 90.00, 120.00 degrees
Last column: nearest neighbours and their distance in Å.
Space group R3m (No. 160, hexagonal axes)
Inequivalent atoms, fractional coordinates:
Si 0.0000 0.0000 0.0000  3 Ni 2.35
Si 0.0000 0.0000 0.2810  4 Ni 2.21-2.38
Si 0.0000 0.0000 0.5623  4 Ni 2.33-2.34
Ni 0.0000 0.0000 0.2054  4 Si 2.21-2.34
Ni 0.0000 0.0000 0.6421  7 Si 2.33-2.38
Bi 0.0000 0.0000 0.4006  3 Si 2.98
Bi 0.0000 0.0000 0.8198  3 Ni 2.71

Output
- E: -108.2 eV per cell
- Total moment: 0.001 μB per atom